Compound: SrInMo2
Source: Alexandria
Functional: PBE
Structure: relaxed

## Properties
- Calculated total energy: -5.93 eV/atom
- Energy of formation: 0.593 eV/atom
- Space-group type: P4/mmm
- V: 24.313 A^3/atom

Cell lengths 3.718, 3.718, 7.036 Å; angles 90.00, 90.00, 90.00 degrees
Fractional positions:
Sr: 0.000 0.000 0.000
In: 0.000 0.000 0.500
Mo: 0.500 0.500 0.340
Mo: 0.500 0.500 0.660

---

Compound: MnSbPd4
Source: Alexandria
Functional: PBE
Structure: relaxed

## Properties
- Relative energy among the computed polymorphs: 0.16 kcal/mol of atoms
- Calculated total energy: -6.00 eV/atom
- Space-group type: C2/m
- V: 16.076 A^3/atom

Cell lengths 9.053, 3.874, 5.800 Å; angles 90.00, 108.50, 90.00 degrees
Fractional positions:
Mn: 0.000 0.000 0.000
Mn: 0.500 0.500 0.000
Sb: 0.000 0.000 0.500
Sb: 0.500 0.500 0.500
Pd: 0.160 0.500 0.326
Pd: 0.166 0.500 0.839
Pd: 0.334 0.000 0.161
Pd: 0.340 0.000 0.674
Pd: 0.660 0.000 0.326
Pd: 0.666 0.000 0.839
Pd: 0.834 0.500 0.161
Pd: 0.840 0.500 0.674

---

Compound: Li2TbPt
Source: Alexandria
Functional: PBE
Structure: relaxed

## Properties
- Relative energy among the computed polymorphs: 1.94 kcal/mol of atoms
- Calculated total energy: -4.11 eV/atom
- Energy of formation: -0.489 eV/atom
- Space-group type: Cmmm
- V: 20.483 A^3/atom

Cell lengths 5.537, 5.816, 5.088 Å; angles 90.00, 90.00, 90.00 degrees
Fractional positions:
Li: 0.000 0.199 0.000
Li: 0.000 0.801 0.000
Li: 0.500 0.301 0.000
Li: 0.500 0.699 0.000
Tb: 0.000 0.500 0.500
Tb: 0.500 0.000 0.500
Pt: 0.000 0.000 0.500
Pt: 0.500 0.500 0.500

---

Compound: Cs2CuBr4
Source: Alexandria
Functional: PBE
Structure: relaxed

## Properties
- Relative energy among the computed polymorphs: 0.04 kcal/mol of atoms
- Calculated total energy: -2.95 eV/atom
- Space-group type: P4/mmm
- V: 44.911 A^3/atom

Cell lengths 8.030, 8.030, 4.875 Å; angles 90.00, 90.00, 90.00 degrees
Fractional positions:
Cs: 0.000 0.500 0.000
Cs: 0.500 0.000 0.000
Cu: 0.000 0.000 0.500
Br: 0.216 0.216 0.500
Br: 0.216 0.784 0.500
Br: 0.784 0.216 0.500
Br: 0.784 0.784 0.500

---

What did the fourth record say?
Compound: Cs2CuBr4
Source: Alexandria
Functional: PBE
Structure: relaxed

## Properties
- Relative energy among the computed polymorphs: 0.04 kcal/mol of atoms
- Calculated total energy: -2.95 eV/atom
- Space-group type: P4/mmm
- V: 44.911 A^3/atom

Cell lengths 8.030, 8.030, 4.875 Å; angles 90.00, 90.00, 90.00 degrees
Fractional positions:
Cs: 0.000 0.500 0.000
Cs: 0.500 0.000 0.000
Cu: 0.000 0.000 0.500
Br: 0.216 0.216 0.500
Br: 0.216 0.784 0.500
Br: 0.784 0.216 0.500
Br: 0.784 0.784 0.500